No. 1
BaLiSc2Zn, optimized geometry, DFT PBE; Fermi-level density of states = 1.29 states/eV/atom; M_tot = 1.4 μB per formula unit; DFT formation energy = 37 kJ per mole of atoms
1.0
5.265 0.000 0.000
0.000 5.265 0.000
0.000 0.000 6.253
Ba Li Sc Zn
1 1 2 1
Cartesian
0.000 0.000 0.000
2.632 2.632 0.000
0.000 2.632 3.126
2.632 0.000 3.126
0.000 0.000 3.126



No. 2
BaLiSe2, optimized geometry, DFT PBE; Fermi-level density of states = 0.73 states/eV/atom; M_tot = 0.0 μB per formula unit; electronic total energy = -4.011 eV per atom
1.0
5.115 0.000 0.000
0.000 5.115 0.000
0.000 0.000 4.511
Ba Li Se
1 1 2
Cartesian
0.000 0.000 0.000
2.558 2.558 2.244
0.000 2.558 2.255
2.558 0.000 2.255



No. 3
Ba2LiSe2, optimized geometry, DFT PBE; Fermi-level density of states = 0.11 states/eV/atom; offset from the most stable computed form = 0 meV per atom; M_tot = 0.9 μB per formula unit
1.0
8.578 0.000 0.000
0.000 8.578 0.000
0.000 0.000 4.417
Ba Li Se
4 2 4
Cartesian
1.304 2.985 0.000
2.985 7.274 0.000
5.593 1.304 0.000
7.274 5.593 0.000
0.000 0.000 2.208
4.289 4.289 2.208
1.359 5.648 2.208
2.929 1.359 2.208
5.648 7.218 2.208
7.218 2.929 2.208



No. 4
Ba4Li2Se, optimized geometry, DFT PBE; Fermi-level density of states = 1.16 states/eV/atom; M_tot = 0.0 μB per formula unit; electronic total energy = -2.551 eV per atom
1.0
-3.183 3.183 8.819
3.183 -3.183 8.819
3.183 3.183 -8.819
Ba Li Se
4 2 1
Cartesian
3.183 0.000 0.000
0.000 0.000 3.314
0.000 3.183 0.000
0.000 0.000 14.325
0.000 0.000 6.898
0.000 0.000 10.740
0.000 0.000 0.000



No. 5
BaLiSe2, optimized geometry, DFT PBE; Fermi-level density of states = 1.34 states/eV/atom; M_tot = 0.0 μB per formula unit; electronic total energy = -3.803 eV per atom
1.0
-1.946 2.124 7.078
1.946 -2.124 7.078
1.946 2.124 -7.078
Ba Li Se
1 1 2
Cartesian
0.000 0.000 0.000
1.946 0.000 3.730
0.000 0.000 5.620
0.000 2.124 2.566



No. 6
Ba2LiSe, optimized geometry, DFT PBE; Fermi-level density of states = 0.75 states/eV/atom; M_tot = 0.0 μB per formula unit; electronic total energy = -3.156 eV per atom
1.0
4.185 0.000 0.000
0.000 4.185 0.000
0.000 0.000 8.339
Ba Li Se
2 1 1
Cartesian
0.000 0.000 1.862
0.000 0.000 6.477
2.092 2.092 4.169
2.092 2.092 0.000



No. 7
Ba2Li2Se, optimized geometry, DFT PBE; Fermi-level density of states = 0.90 states/eV/atom; offset from the most stable computed form = 32 meV per atom; M_tot = 1.3 μB per formula unit
1.0
-3.321 3.321 3.735
3.321 -3.321 3.735
3.321 3.321 -3.735
Ba Li Se
2 2 1
Cartesian
3.321 0.000 1.868
0.000 3.321 1.868
0.000 0.000 1.280
0.000 0.000 6.191
0.000 0.000 3.735



No. 8
Ba4LiSe, optimized geometry, DFT PBE; Fermi-level density of states = 1.33 states/eV/atom; M_tot = 0.0 μB per formula unit; electronic total energy = -1.999 eV per atom
1.0
0.000 5.248 5.248
5.248 0.000 5.248
5.248 5.248 0.000
Ba Li Se
4 1 1
Cartesian
3.949 3.949 3.949
6.546 6.546 3.949
6.546 3.949 6.546
3.949 6.546 6.546
0.000 0.000 0.000
7.871 7.871 7.871



No. 9
BaLiSe2, optimized geometry, DFT PBE; Fermi-level density of states = 0.37 states/eV/atom; M_tot = 0.0 μB per formula unit; electronic total energy = -3.871 eV per atom
1.0
-2.856 2.856 7.725
2.856 -2.856 7.725
2.856 2.856 -7.725
Ba Li Se
2 2 4
Cartesian
0.000 0.000 0.000
0.000 2.856 3.863
2.856 0.000 3.863
0.000 0.000 7.725
1.428 -0.459 5.794
2.397 1.428 1.931
1.428 3.315 -1.931
0.459 1.428 9.657



No. 10
BaLi2Se, optimized geometry, DFT PBE; Fermi-level density of states = 0.53 states/eV/atom; M_tot = 0.0 μB per formula unit; electronic total energy = -2.895 eV per atom
1.0
2.813 -2.822 0.000
2.813 2.822 0.000
0.000 0.000 6.738
Ba Li Se
1 2 1
Cartesian
0.000 0.000 0.000
2.813 0.000 2.185
2.813 0.000 4.553
0.000 0.000 3.369



No. 11
Ba2LiSe, optimized geometry, DFT PBE; Fermi-level density of states = 0.75 states/eV/atom; M_tot = 1.0 μB per formula unit; electronic total energy = -3.176 eV per atom
1.0
4.018 -2.316 0.000
4.018 2.316 0.000
-2.650 0.000 9.397
Ba Li Se
2 1 1
Cartesian
1.340 0.000 1.920
4.047 0.000 7.477
-1.325 0.000 4.699
4.018 0.000 0.000



No. 12
BaLiSe3, optimized geometry, DFT PBE; Fermi-level density of states = 0.70 states/eV/atom; offset from the most stable computed form = 732 meV per atom; M_tot = 3.0 μB per formula unit
1.0
6.224 0.000 0.000
0.000 6.224 0.000
0.000 0.000 6.224
Ba Li Se
1 1 3
Cartesian
0.000 0.000 0.000
3.112 3.112 3.112
0.000 0.000 3.112
0.000 3.112 0.000
3.112 0.000 0.000



No. 13
BaLiSe2, optimized geometry, DFT PBE; Fermi-level density of states = 0.56 states/eV/atom; M_tot = 0.0 μB per formula unit; electronic total energy = -3.930 eV per atom
1.0
-2.381 3.199 3.662
2.381 -3.199 3.662
2.381 3.199 -3.662
Ba Li Se
1 1 2
Cartesian
0.000 0.000 0.000
0.000 0.000 3.662
2.381 0.000 2.235
0.000 3.199 1.426



No. 14
BaLi2Se, optimized geometry, DFT PBE; Fermi-level density of states = 0.35 states/eV/atom; M_tot = 0.0 μB per formula unit; electronic total energy = -3.144 eV per atom
1.0
2.196 1.268 6.350
-2.196 1.268 6.350
0.000 -2.536 6.350
Ba Li Se
1 2 1
Cartesian
0.000 0.000 0.000
0.000 0.000 9.732
0.000 0.000 15.272
0.000 0.000 3.827



No. 15
BaLi2Se, optimized geometry, DFT PBE; Fermi-level density of states = 0.67 states/eV/atom; M_tot = 0.6 μB per formula unit; electronic total energy = -3.000 eV per atom
1.0
-1.879 2.754 5.778
1.879 -2.754 5.778
1.879 2.754 -5.778
Ba Li Se
1 2 1
Cartesian
0.000 0.000 0.000
1.879 0.000 3.727
0.000 2.754 2.050
0.000 0.000 5.778



No. 16
BaLiSe3, optimized geometry, DFT PBE; Fermi-level density of states = 1.11 states/eV/atom; offset from the most stable computed form = 0 meV per atom; M_tot = 0.0 μB per formula unit
1.0
4.998 0.000 0.000
0.000 4.998 0.000
0.000 0.000 4.998
Ba Li Se
1 1 3
Cartesian
0.000 0.000 0.000
2.499 2.499 2.499
0.000 2.499 2.499
2.499 0.000 2.499
2.499 2.499 0.000



No. 17
Ba2LiSe, optimized geometry, DFT PBE; Fermi-level density of states = 0.70 states/eV/atom; M_tot = 0.0 μB per formula unit; electronic total energy = -3.095 eV per atom
1.0
4.169 0.000 0.000
0.000 5.747 0.000
0.000 0.000 5.746
Ba Li Se
2 1 1
Cartesian
0.000 0.000 0.000
0.000 2.873 2.866
2.085 2.873 5.737
2.085 0.000 2.874



No. 18
BaLiSe2, optimized geometry, DFT PBE; Fermi-level density of states = 1.46 states/eV/atom; M_tot = 0.0 μB per formula unit; electronic total energy = -3.844 eV per atom
1.0
0.000 3.805 3.805
3.805 0.000 3.805
3.805 3.805 0.000
Ba Li Se
1 1 2
Cartesian
0.000 0.000 0.000
3.805 3.805 3.805
1.902 1.902 1.902
5.707 5.707 5.707



No. 19
Ba4LiSe4, optimized geometry, DFT PBE; Fermi-level density of states = 0.33 states/eV/atom; M_tot = 0.0 μB per formula unit; electronic total energy = -4.378 eV per atom
1.0
9.424 0.000 0.000
0.000 9.424 0.000
0.000 0.000 6.733
Ba Li Se
8 2 8
Cartesian
0.163 2.356 0.283
2.356 0.163 3.649
2.356 4.549 3.649
4.549 2.356 0.283
4.875 7.068 6.451
7.068 4.875 3.084
7.068 9.261 3.084
9.261 7.068 6.451
2.356 7.068 1.683
7.068 2.356 5.050
0.154 7.068 3.134
2.356 4.866 0.232
2.356 9.270 0.232
4.558 7.068 3.134
4.866 2.356 3.599
7.068 0.154 6.501
7.068 4.558 6.501
9.270 2.356 3.599



No. 20
BaLi2Se, optimized geometry, DFT PBE; Fermi-level density of states = 0.25 states/eV/atom; M_tot = 0.0 μB per formula unit; electronic total energy = -3.206 eV per atom
1.0
4.162 0.000 0.000
0.000 4.238 0.000
-2.057 0.000 6.570
Ba Li Se
1 2 1
Cartesian
0.000 0.000 0.000
0.024 0.000 3.584
2.108 2.119 3.342
0.026 2.119 5.076



No. 21
Ba2LiSe2, optimized geometry, DFT PBE; Fermi-level density of states = 0.52 states/eV/atom; offset from the most stable computed form = 362 meV per atom; M_tot = 0.0 μB per formula unit
1.0
-3.047 3.047 6.242
3.047 -3.047 6.242
3.047 3.047 -6.242
Ba Li Se
2 1 2
Cartesian
0.000 0.000 2.262
0.000 0.000 10.222
0.000 0.000 6.242
3.047 0.000 3.121
0.000 3.047 3.121



No. 22
BaLi2Se, optimized geometry, DFT PBE; Fermi-level density of states = 0.73 states/eV/atom; M_tot = 0.0 μB per formula unit; electronic total energy = -3.166 eV per atom
1.0
-2.291 2.291 6.592
2.291 -2.291 6.592
2.291 2.291 -6.592
Ba Li Se
1 2 1
Cartesian
0.000 0.000 0.000
0.000 0.000 4.079
0.000 0.000 9.105
0.000 0.000 6.592



No. 23
BaLi2Se, optimized geometry, DFT PBE; Fermi-level density of states = 0.17 states/eV/atom; M_tot = 0.0 μB per formula unit; electronic total energy = -2.998 eV per atom
1.0
4.569 0.000 0.000
0.000 4.569 0.000
0.000 0.000 6.072
Ba Li Se
1 2 1
Cartesian
0.000 0.000 0.000
0.000 2.285 3.036
2.285 0.000 3.036
2.285 2.285 0.000



No. 24
Ba2LiSe, optimized geometry, DFT PBE; Fermi-level density of states = 0.89 states/eV/atom; M_tot = 0.0 μB per formula unit; electronic total energy = -2.570 eV per atom
1.0
0.000 4.070 4.070
4.070 0.000 4.070
4.070 4.070 0.000
Ba Li Se
2 1 1
Cartesian
0.000 0.000 0.000
2.035 2.035 2.035
6.105 6.105 6.105
4.070 4.070 4.070



No. 25
BaLi4Se, optimized geometry, DFT PBE; Fermi-level density of states = 0.07 states/eV/atom; M_tot = 0.0 μB per formula unit; electronic total energy = -2.442 eV per atom
1.0
0.000 4.195 4.195
4.195 0.000 4.195
4.195 4.195 0.000
Ba Li Se
1 4 1
Cartesian
0.000 0.000 0.000
5.218 3.173 3.173
3.173 5.218 3.173
3.173 3.173 5.218
5.218 5.218 5.218
2.098 2.098 2.098



No. 26
BaLiSe2, optimized geometry, DFT PBE; Fermi-level density of states = 1.10 states/eV/atom; M_tot = 0.4 μB per formula unit; electronic total energy = -3.438 eV per atom
1.0
0.000 3.754 3.754
3.754 0.000 3.754
3.754 3.754 0.000
Ba Li Se
1 1 2
Cartesian
0.000 0.000 0.000
1.877 1.877 1.877
3.754 3.754 3.754
5.631 5.631 5.631



No. 27
BaLiSe2, optimized geometry, DFT PBE; Fermi-level density of states = 0.26 states/eV/atom; M_tot = 0.0 μB per formula unit; electronic total energy = -3.878 eV per atom
1.0
4.125 0.000 0.000
0.000 4.039 0.000
-1.805 0.000 6.430
Ba Li Se
1 1 2
Cartesian
0.000 0.000 0.000
-0.902 0.000 3.215
0.425 2.020 4.640
1.896 2.020 1.790



No. 28
Ba2LiSe, optimized geometry, DFT PBE; Fermi-level density of states = 0.86 states/eV/atom; M_tot = 1.0 μB per formula unit; electronic total energy = -3.178 eV per atom
1.0
6.478 -2.425 0.000
6.478 2.425 0.000
-0.002 0.000 4.529
Ba Li Se
2 1 1
Cartesian
0.000 0.000 0.000
9.219 0.000 2.260
5.180 0.000 2.269
3.673 0.000 4.527